(1)
{
  "formula": "TlAg2Br",
  "functional": "GGA-PBE",
  "state": "optimized geometry",
  "m_tot_mub_per_cell": 0.0,
  "e_form_raw_mev_per_atom": 35,
  "sg": "No. 47",
  "energy_ev_per_cell": -9.6,
  "lattice": [[3.513, 0.000, 0.000], [0.000, 5.079, 0.000], [0.000, 0.000, 5.452]],
  "species": ["Tl", "Ag", "Ag", "Br"],
  "fractional_positions": [[0.000, 0.000, 0.000], [0.000, 0.500, 0.500], [0.500, 0.500, 0.000], [0.500, 0.000, 0.500]]
}

(2)
{
  "formula": "Tl2AgBr3",
  "functional": "GGA-PBE",
  "state": "optimized geometry",
  "m_tot_mub_per_cell": 0.0,
  "e_form_raw_mev_per_atom": -664,
  "sg": "No. 15",
  "energy_ev_per_cell": -33.2,
  "lattice": [[7.391, -3.325, 0.000], [7.391, 3.325, 0.000], [-3.405, 0.000, 8.414]],
  "species": ["Tl", "Tl", "Tl", "Tl", "Ag", "Ag", "Br", "Br", "Br", "Br", "Br", "Br"],
  "fractional_positions": [[0.158, 0.181, 0.097], [0.181, 0.158, 0.597], [0.819, 0.842, 0.403], [0.842, 0.819, 0.903], [0.452, 0.548, 0.250], [0.548, 0.452, 0.750], [0.023, 0.977, 0.250], [0.338, 0.377, 0.470], [0.377, 0.338, 0.970], [0.623, 0.662, 0.030], [0.662, 0.623, 0.530], [0.977, 0.023, 0.750]]
}

(3)
{
  "formula": "TlAg2Br",
  "functional": "GGA-PBE",
  "state": "optimized geometry",
  "m_tot_mub_per_cell": 0.0,
  "e_form_raw_mev_per_atom": -61,
  "sg": "No. 160",
  "energy_ev_per_cell": -10.0,
  "lattice": [[1.953, 1.128, 7.946], [-1.953, 1.128, 7.946], [0.000, -2.255, 7.946]],
  "species": ["Tl", "Ag", "Ag", "Br"],
  "fractional_positions": [[0.000, 0.000, 0.000], [0.249, 0.249, 0.249], [0.510, 0.510, 0.510], [0.770, 0.770, 0.770]]
}

(4)
{
  "formula": "TlAg2Br6",
  "functional": "GGA-PBE",
  "state": "optimized geometry",
  "m_tot_mub_per_cell": 0.0,
  "e_form_raw_mev_per_atom": -298,
  "sg": "No. 12",
  "energy_ev_per_cell": -20.8,
  "lattice": [[6.914, -2.236, 0.000], [6.914, 2.236, 0.000], [-3.871, 0.000, 10.328]],
  "species": ["Tl", "Ag", "Ag", "Br", "Br", "Br", "Br", "Br", "Br"],
  "fractional_positions": [[0.000, 0.000, 0.000], [0.322, 0.322, 0.268], [0.678, 0.678, 0.732], [0.103, 0.103, 0.616], [0.125, 0.125, 0.247], [0.378, 0.378, 0.052], [0.622, 0.622, 0.948], [0.875, 0.875, 0.753], [0.897, 0.897, 0.384]]
}

(5)
{
  "formula": "Tl2Ag2Br7",
  "functional": "GGA-PBE",
  "state": "optimized geometry",
  "m_tot_mub_per_cell": 0.0,
  "e_form_raw_mev_per_atom": -418,
  "sg": "No. 15",
  "energy_ev_per_cell": -53.5,
  "lattice": [[5.283, -5.861, 0.000], [5.283, 5.861, 0.000], [-4.759, 0.000, 13.622]],
  "species": ["Tl", "Tl", "Tl", "Tl", "Ag", "Ag", "Ag", "Ag", "Br", "Br", "Br", "Br", "Br", "Br", "Br", "Br", "Br", "Br", "Br", "Br", "Br", "Br"],
  "fractional_positions": [[0.017, 0.442, 0.198], [0.442, 0.017, 0.698], [0.558, 0.983, 0.302], [0.983, 0.558, 0.802], [0.256, 0.442, 0.536], [0.442, 0.256, 0.036], [0.558, 0.744, 0.964], [0.744, 0.558, 0.464], [0.030, 0.643, 0.631], [0.175, 0.179, 0.115], [0.179, 0.175, 0.615], [0.234, 0.766, 0.250], [0.279, 0.491, 0.928], [0.357, 0.970, 0.869], [0.491, 0.279, 0.428], [0.509, 0.721, 0.572], [0.643, 0.030, 0.131], [0.721, 0.509, 0.072], [0.766, 0.234, 0.750], [0.821, 0.825, 0.385], [0.825, 0.821, 0.885], [0.970, 0.357, 0.369]]
}

(6)
{
  "formula": "Tl3AgBr9",
  "functional": "GGA-PBE",
  "state": "optimized geometry",
  "m_tot_mub_per_cell": 1.9,
  "e_form_raw_mev_per_atom": -441,
  "sg": "No. 9",
  "energy_ev_per_cell": -61.5,
  "lattice": [[9.217, -5.544, 0.000], [9.217, 5.544, 0.000], [-8.435, 0.000, 10.296]],
  "species": ["Tl", "Tl", "Tl", "Tl", "Tl", "Tl", "Ag", "Ag", "Br", "Br", "Br", "Br", "Br", "Br", "Br", "Br", "Br", "Br", "Br", "Br", "Br", "Br", "Br", "Br", "Br", "Br"],
  "fractional_positions": [[0.051, 0.949, 0.500], [0.268, 0.635, 0.671], [0.495, 0.791, 0.375], [0.635, 0.268, 0.171], [0.791, 0.495, 0.875], [0.949, 0.051, 0.000], [0.557, 0.932, 0.145], [0.932, 0.557, 0.645], [0.003, 0.259, 0.928], [0.155, 0.566, 0.419], [0.234, 0.440, 0.714], [0.259, 0.003, 0.428], [0.300, 0.908, 0.096], [0.376, 0.872, 0.796], [0.406, 0.558, 0.152], [0.440, 0.234, 0.214], [0.558, 0.406, 0.652], [0.566, 0.155, 0.919], [0.625, 0.654, 0.542], [0.654, 0.625, 0.042], [0.679, 0.915, 0.407], [0.813, 0.975, 0.204], [0.872, 0.376, 0.296], [0.908, 0.300, 0.596], [0.915, 0.679, 0.907], [0.975, 0.813, 0.704]]
}

(7)
{
  "formula": "Tl3AgBr4",
  "functional": "GGA-PBE",
  "state": "optimized geometry",
  "m_tot_mub_per_cell": 0.0,
  "e_form_raw_mev_per_atom": -699,
  "sg": "No. 31",
  "energy_ev_per_cell": -44.5,
  "lattice": [[9.526, 0.000, 0.000], [0.000, 10.011, 0.000], [0.000, 0.000, 6.634]],
  "species": ["Tl", "Tl", "Tl", "Tl", "Tl", "Tl", "Ag", "Ag", "Br", "Br", "Br", "Br", "Br", "Br", "Br", "Br"],
  "fractional_positions": [[0.000, 0.095, 0.000], [0.202, 0.347, 0.498], [0.298, 0.653, 0.998], [0.500, 0.905, 0.500], [0.702, 0.653, 0.998], [0.798, 0.347, 0.498], [0.000, 0.796, 0.553], [0.500, 0.204, 0.053], [0.000, 0.065, 0.496], [0.000, 0.769, 0.982], [0.248, 0.326, 0.989], [0.252, 0.674, 0.489], [0.500, 0.231, 0.482], [0.500, 0.935, 0.996], [0.748, 0.674, 0.489], [0.752, 0.326, 0.989]]
}

(8)
{
  "formula": "Tl2AgBr6",
  "functional": "GGA-PBE",
  "state": "optimized geometry",
  "m_tot_mub_per_cell": 0.0,
  "e_form_raw_mev_per_atom": -420,
  "sg": "No. 12",
  "energy_ev_per_cell": -21.4,
  "lattice": [[6.940, -2.342, 0.000], [6.940, 2.342, 0.000], [-1.558, 0.000, 10.967]],
  "species": ["Tl", "Tl", "Ag", "Br", "Br", "Br", "Br", "Br", "Br"],
  "fractional_positions": [[0.209, 0.209, 0.235], [0.791, 0.791, 0.765], [0.500, 0.500, 0.500], [0.122, 0.122, 0.439], [0.350, 0.350, 0.894], [0.405, 0.405, 0.270], [0.595, 0.595, 0.730], [0.650, 0.650, 0.106], [0.878, 0.878, 0.561]]
}

(9)
{
  "formula": "TlAgBr2",
  "functional": "GGA-PBE",
  "state": "optimized geometry",
  "m_tot_mub_per_cell": 0.0,
  "e_form_raw_mev_per_atom": -566,
  "sg": "No. 12",
  "energy_ev_per_cell": -10.8,
  "lattice": [[3.713, -2.247, 0.000], [3.713, 2.247, 0.000], [-2.401, 0.000, 7.347]],
  "species": ["Tl", "Ag", "Br", "Br"],
  "fractional_positions": [[0.000, 0.000, 0.000], [0.500, 0.500, 0.500], [0.247, 0.247, 0.708], [0.753, 0.753, 0.292]]
}

(10)
{
  "formula": "TlAgBr2",
  "functional": "GGA-PBE",
  "state": "optimized geometry",
  "m_tot_mub_per_cell": 0.0,
  "e_form_raw_mev_per_atom": -566,
  "sg": "No. 6",
  "energy_ev_per_cell": -10.8,
  "lattice": [[4.812, 0.000, 0.000], [0.000, 4.609, 0.000], [-0.751, 0.000, 6.773]],
  "species": ["Tl", "Ag", "Br", "Br"],
  "fractional_positions": [[0.000, 0.000, 0.000], [0.232, 0.500, 0.619], [0.028, 0.000, 0.476], [0.508, 0.500, 0.978]]
}

(11)
{
  "formula": "TlAg4Br6",
  "functional": "GGA-PBE",
  "state": "optimized geometry",
  "m_tot_mub_per_cell": 0.0,
  "e_form_raw_mev_per_atom": -366,
  "sg": "No. 3",
  "energy_ev_per_cell": -27.8,
  "lattice": [[5.910, 0.000, 0.000], [0.000, 5.960, 0.000], [-2.955, 0.000, 8.676]],
  "species": ["Tl", "Ag", "Ag", "Ag", "Ag", "Br", "Br", "Br", "Br", "Br", "Br"],
  "fractional_positions": [[0.000, 0.000, 0.000], [0.165, 0.500, 0.331], [0.338, 0.000, 0.675], [0.662, 0.000, 0.325], [0.835, 0.500, 0.669], [0.000, 0.500, 0.000], [0.176, 0.000, 0.351], [0.327, 0.500, 0.655], [0.500, 0.000, 0.000], [0.673, 0.500, 0.345], [0.824, 0.000, 0.649]]
}

(12)
{
  "formula": "TlAgBr2",
  "functional": "GGA-PBE",
  "state": "optimized geometry",
  "m_tot_mub_per_cell": 0.0,
  "e_form_raw_mev_per_atom": -558,
  "sg": "No. 160",
  "energy_ev_per_cell": -10.8,
  "lattice": [[2.162, 1.248, 7.526], [-2.162, 1.248, 7.526], [0.000, -2.496, 7.526]],
  "species": ["Tl", "Ag", "Br", "Br"],
  "fractional_positions": [[0.000, 0.000, 0.000], [0.167, 0.167, 0.167], [0.570, 0.570, 0.570], [0.766, 0.766, 0.766]]
}

- Number 8 is which compound?
  Tl2AgBr6